[1]
Entry from the Alexandria database: LaAlTlGe2 after structural relaxation (PBEsol).

The value obtained for the density of states at the Fermi level is 3.1 states/eV per cell. As for the formation energy: 0.752 eV/atom. For the total energy, the calculation gives -0.26735 Ry/atom. As for the total magnetic moment: 0.0 μB/f.u.

It has space group P4/mmm (No. 123), with a = 5.1463 Å, b = 5.1463 Å, c = 5.9601 Å, α = 90.00°, β = 90.00° and γ = 90.00°. The inequivalent atoms are La at (0.0000, 0.0000, 0.0000), Al at (0.5000, 0.5000, 0.0000), Tl at (0.0000, 0.0000, 0.5000) and Ge at (0.0000, 0.5000, 0.5000).

[2]
Entry from the Alexandria database: CoGeC3 after structural relaxation (PBEsol).

The value obtained for the density of states at the Fermi level is 3.6 states/eV per cell. As for the formation energy: 2.057 eV/atom. For the total energy, the calculation gives -0.46041 Ry/atom. As for the total magnetic moment: 0.0 μB/f.u.

It has space group Pm-3m (No. 221), with a = 3.7430 Å, b = 3.7430 Å, c = 3.7430 Å, α = 90.00°, β = 90.00° and γ = 90.00°. The inequivalent atoms are Co at (0.0000, 0.0000, 0.0000), Ge at (0.5000, 0.5000, 0.5000) and C at (0.0000, 0.0000, 0.5000).

[3]
Entry from the Alexandria database: HgAsP2 after structural relaxation (PBEsol).

The value obtained for the density of states at the Fermi level is 3.1 states/eV per cell. As for the formation energy: 0.324 eV/atom. For the total energy, the calculation gives -0.29327 Ry/atom. As for the total magnetic moment: 0.0 μB/f.u.

It has space group Imm2 (No. 44), with a = 3.1219 Å, b = 3.7112 Å, c = 13.1507 Å, α = 90.00°, β = 90.00° and γ = 90.00°. The inequivalent atoms are Hg at (0.0000, 0.0000, 0.0000), As at (0.0000, 0.5000, 0.1617), P at (0.0000, 0.0000, 0.3782) and P at (0.0000, 0.5000, 0.7582).

[4]
Entry from the Alexandria database: Cs2MoBr6 after structural relaxation (PBEsol).

The value obtained for the density of states at the Fermi level is 28.9 states/eV per cell. For the total energy, the calculation gives -0.28721 Ry/atom. As for the total magnetic moment: 2.0 μB/f.u. Its uncorrected formation energy is -1144 meV per atom.

It has space group Fm-3m (No. 225), with a = 10.5964 Å, b = 10.5964 Å, c = 10.5964 Å, α = 90.00°, β = 90.00° and γ = 90.00°. The inequivalent atoms are Cs at (0.2500, 0.2500, 0.2500), Mo at (0.0000, 0.0000, 0.0000) and Br at (0.0000, 0.0000, 0.2387).

[5]
Entry from the Alexandria database: MoRuRh2 after structural relaxation (PBEsol).

The value obtained for the density of states at the Fermi level is 29.2 states/eV per cell. As for the formation energy: 0.362 eV/atom. For the total energy, the calculation gives -0.67563 Ry/atom. The relative energy among the computed polymorphs comes out at 531 meV per atom. As for the total magnetic moment: 0.3 μB/f.u.

It has space group Fm-3m (No. 225), with a = 6.0967 Å, b = 6.0967 Å, c = 6.0967 Å, α = 90.00°, β = 90.00° and γ = 90.00°. The inequivalent atoms are Mo at (0.0000, 0.0000, 0.0000), Ru at (0.0000, 0.0000, 0.5000) and Rh at (0.2500, 0.2500, 0.2500).

[6]
Entry from the Alexandria database: CrCdCo2 after structural relaxation (PBEsol).

The value obtained for the density of states at the Fermi level is 3.6 states/eV per cell. As for the formation energy: 0.341 eV/atom. For the total energy, the calculation gives -0.46949 Ry/atom. As for the total magnetic moment: 3.2 μB/f.u.

It has space group P4mm (No. 99), with a = 2.6144 Å, b = 2.6144 Å, c = 7.4006 Å, α = 90.00°, β = 90.00° and γ = 90.00°. The inequivalent atoms are Cr at (0.0000, 0.0000, 0.0000), Cd at (0.5000, 0.5000, 0.2960), Co at (0.0000, 0.0000, 0.5764) and Co at (0.5000, 0.5000, 0.7820).